[1]
{
  "formula": "LiTbBr2",
  "functional": "GGA-PBE",
  "state": "optimized geometry",
  "dos_ef_per_ev_fu": 0.37,
  "energy_ev_per_cell": -14.67,
  "m_tot_mub_per_cell": 0.00,
  "crystal_system": "trigonal",
  "lattice": [[1.945, 1.123, 8.639], [-1.945, 1.123, 8.639], [0.000, -2.246, 8.639]],
  "species": ["Li", "Tb", "Br", "Br"],
  "fractional_positions": [[0.000, 0.000, 0.000], [0.500, 0.500, 0.500], [0.392, 0.392, 0.392], [0.608, 0.608, 0.608]]
}

[2]
{
  "formula": "PaHgPbBr6",
  "functional": "GGA-PBE",
  "state": "optimized geometry",
  "dos_ef_per_ev_fu": 0.12,
  "energy_ev_per_cell": -67.21,
  "m_tot_mub_per_cell": 2.02,
  "crystal_system": "trigonal",
  "lattice": [[7.633, 0.000, 0.000], [-3.816, 6.610, 0.000], [0.000, 0.000, 17.875]],
  "species": ["Pa", "Pa", "Hg", "Hg", "Pb", "Pb", "Br", "Br", "Br", "Br", "Br", "Br", "Br", "Br", "Br", "Br", "Br", "Br"],
  "fractional_positions": [[0.333, 0.667, 0.250], [0.667, 0.333, 0.750], [0.000, 0.000, 0.000], [0.000, 0.000, 0.500], [0.333, 0.667, 0.750], [0.667, 0.333, 0.250], [0.024, 0.374, 0.159], [0.024, 0.650, 0.341], [0.350, 0.374, 0.341], [0.350, 0.976, 0.159], [0.374, 0.024, 0.659], [0.374, 0.350, 0.841], [0.626, 0.650, 0.159], [0.626, 0.976, 0.341], [0.650, 0.024, 0.841], [0.650, 0.626, 0.659], [0.976, 0.350, 0.659], [0.976, 0.626, 0.841]]
}

[3]
{
  "formula": "ReOsCl2",
  "functional": "GGA-PBE",
  "state": "optimized geometry",
  "dos_ef_per_ev_fu": 4.40,
  "m_tot_mub_per_cell": 0.00,
  "de_polymorph_mev_per_atom": 1757,
  "crystal_system": "cubic",
  "lattice": [[0.000, 3.082, 3.082], [3.082, 0.000, 3.082], [3.082, 3.082, 0.000]],
  "species": ["Re", "Os", "Cl", "Cl"],
  "fractional_positions": [[0.000, 0.000, 0.000], [0.500, 0.500, 0.500], [0.250, 0.250, 0.250], [0.750, 0.750, 0.750]]
}

[4]
{
  "formula": "TbCeN",
  "functional": "GGA-PBE",
  "state": "optimized geometry",
  "dos_ef_per_ev_fu": 5.64,
  "m_tot_mub_per_cell": 0.88,
  "de_polymorph_mev_per_atom": 0,
  "crystal_system": "trigonal",
  "lattice": [[3.493, 0.000, 0.000], [-1.746, 3.025, 0.000], [0.000, 0.000, 6.271]],
  "species": ["Tb", "Ce", "N"],
  "fractional_positions": [[0.000, 0.000, 0.000], [0.333, 0.667, 0.439], [0.667, 0.333, 0.212]]
}